Entry 1:
# PBE TiV2N4, relaxed
data_TiV2N4
_chemical_formula_sum 'Ti2 V4 N8'
_cell_length_a 3.945
_cell_length_b 3.945
_cell_length_c 9.966
_cell_angle_alpha 90.00
_cell_angle_beta 90.00
_cell_angle_gamma 90.00
_space_group_name_H-M_alt 'I 4/m m m'
_space_group_IT_number 139
_space_group_name_Hall '-I 4 2'
loop_
_atom_site_label
_atom_site_type_symbol
_atom_site_fract_x
_atom_site_fract_y
_atom_site_fract_z
Ti1 Ti 0.000 0.000 0.000
V1 V 0.000 0.000 0.375
N1 N 0.000 0.000 0.211
N2 N 0.000 0.500 0.000
# - Uncorrected formation energy: -234 meV/atom
# - Spin magnetization: 0.0 μB per formula unit

Entry 2:
# PBE Ac2GdAg, relaxed
data_Ac2GdAg
_chemical_formula_sum 'Ac6 Gd3 Ag3'
_cell_length_a 3.7786
_cell_length_b 3.7786
_cell_length_c 36.9172
_cell_angle_alpha 90.00
_cell_angle_beta 90.00
_cell_angle_gamma 120.00
_space_group_name_H-M_alt 'R -3 m'
_space_group_IT_number 166
_space_group_name_Hall '-R 3 2"'
loop_
_atom_site_label
_atom_site_type_symbol
_atom_site_fract_x
_atom_site_fract_y
_atom_site_fract_z
Ac1 Ac 0.0000 0.0000 0.0848
Gd1 Gd 0.0000 0.0000 0.5000
Ag1 Ag 0.0000 0.0000 0.0000
# - Formation energy: 307 meV per atom
# - Energy above the lowest structure with this stoichiometry: 399.6 meV per atom
# - Spin magnetization: 7.3 μB per formula unit

Entry 3:
# PBE TbEr4Ag, relaxed
data_TbEr4Ag
_chemical_formula_sum 'Tb4 Er16 Ag4'
_cell_length_a 5.381
_cell_length_b 20.732
_cell_length_c 6.380
_cell_angle_alpha 90.00
_cell_angle_beta 90.00
_cell_angle_gamma 90.00
_space_group_name_H-M_alt 'C m c 21'
_space_group_IT_number 36
loop_
_space_group_symop_operation_xyz
'x,y,z'
'-x,-y,z+1/2'
'-x,y,z'
'x,-y,z+1/2'
'x+1/2,y+1/2,z'
'-x+1/2,-y+1/2,z+1/2'
'-x+1/2,y+1/2,z'
'x+1/2,-y+1/2,z+1/2'
loop_
_atom_site_label
_atom_site_type_symbol
_atom_site_fract_x
_atom_site_fract_y
_atom_site_fract_z
Tb1 Tb 0.000 0.135 0.000
Er1 Er 0.000 0.066 0.495
Er2 Er 0.000 0.257 0.372
Er3 Er 0.000 0.324 0.860
Er4 Er 0.000 0.465 0.662
Ag1 Ag 0.000 0.398 0.252
# - Formation energy: 48 meV per atom
# - Energy above the lowest structure with this stoichiometry: 128.1 meV per atom
# - Spin magnetization: 0.0 μB per formula unit

Entry 4:
# PBE ZrTl2Cl, relaxed
data_ZrTl2Cl
_chemical_formula_sum 'Zr2 Tl4 Cl2'
_cell_length_a 3.425
_cell_length_b 5.806
_cell_length_c 10.957
_cell_angle_alpha 90.00
_cell_angle_beta 90.00
_cell_angle_gamma 90.00
_space_group_name_H-M_alt 'C m m 2'
_space_group_IT_number 35
loop_
_space_group_symop_operation_xyz
'x,y,z'
'-x,-y,z'
'-x,y,z'
'x,-y,z'
'x+1/2,y+1/2,z'
'-x+1/2,-y+1/2,z'
'-x+1/2,y+1/2,z'
'x+1/2,-y+1/2,z'
loop_
_atom_site_label
_atom_site_type_symbol
_atom_site_fract_x
_atom_site_fract_y
_atom_site_fract_z
Zr1 Zr 0.000 0.000 0.000
Tl1 Tl 0.000 0.000 0.493
Tl2 Tl 0.000 0.500 0.232
Cl1 Cl 0.000 0.500 0.822
# - Uncorrected formation energy: -430 meV/atom
# - Energy above the lowest structure with this stoichiometry: 112.7 meV per atom
# - Spin magnetization: 0.0 μB per formula unit

Entry 5:
# PBE Ca5Zn2Au, relaxed
data_Ca5Zn2Au
_chemical_formula_sum 'Ca20 Zn8 Au4'
_cell_length_a 7.631
_cell_length_b 7.631
_cell_length_c 15.838
_cell_angle_alpha 90.00
_cell_angle_beta 90.00
_cell_angle_gamma 90.00
_space_group_name_H-M_alt 'I 4/m c m'
_space_group_IT_number 140
_space_group_name_Hall '-I 4 2c'
loop_
_atom_site_label
_atom_site_type_symbol
_atom_site_fract_x
_atom_site_fract_y
_atom_site_fract_z
Ca1 Ca 0.000 0.000 0.000
Ca2 Ca 0.174 0.326 0.150
Zn1 Zn 0.116 0.384 0.500
Au1 Au 0.000 0.000 0.250
# - Formation energy: -356 meV per atom
# - Spin magnetization: 0.0 μB per formula unit

Entry 6:
# PBE Dy11Cd9Ga4, relaxed
data_Dy11Cd9Ga4
_chemical_formula_sum 'Dy22 Cd18 Ga8'
_cell_length_a 14.711
_cell_length_b 22.094
_cell_length_c 3.666
_cell_angle_alpha 90.00
_cell_angle_beta 90.00
_cell_angle_gamma 90.00
_space_group_name_H-M_alt 'C m m m'
_space_group_IT_number 65
_space_group_name_Hall '-C 2 2'
loop_
_atom_site_label
_atom_site_type_symbol
_atom_site_fract_x
_atom_site_fract_y
_atom_site_fract_z
Dy1 Dy 0.000 0.000 0.000
Dy2 Dy 0.000 0.165 0.000
Dy3 Dy 0.000 0.370 0.000
Dy4 Dy 0.201 0.500 0.000
Dy5 Dy 0.237 0.173 0.000
Cd1 Cd 0.000 0.500 0.500
Cd2 Cd 0.106 0.264 0.500
Cd3 Cd 0.141 0.072 0.500
Ga1 Ga 0.151 0.400 0.500
# - Formation energy: -391 meV per atom
# - Spin magnetization: 0.0 μB per formula unit

Entry 7:
# PBE Tc2AgIr, relaxed
data_Tc2AgIr
_chemical_formula_sum 'Tc6 Ag3 Ir3'
_cell_length_a 2.7639
_cell_length_b 2.7639
_cell_length_c 27.7717
_cell_angle_alpha 90.00
_cell_angle_beta 90.00
_cell_angle_gamma 120.00
_space_group_name_H-M_alt 'R 3 m'
_space_group_IT_number 160
_space_group_name_Hall 'R 3 -2"'
loop_
_atom_site_label
_atom_site_type_symbol
_atom_site_fract_x
_atom_site_fract_y
_atom_site_fract_z
Tc1 Tc 0.0000 0.0000 0.0000
Tc2 Tc 0.0000 0.0000 0.2572
Ag1 Ag 0.0000 0.0000 0.7562
Ir1 Ir 0.0000 0.0000 0.5118
# - Formation energy: 139 meV per atom
# - Energy above the lowest structure with this stoichiometry: 0.0 meV per atom
# - Spin magnetization: 0.0 μB per formula unit

Entry 8:
# PBE LaAgO2F, relaxed
data_LaAgO2F
_chemical_formula_sum 'La1 Ag1 O2 F1'
_cell_length_a 4.220
_cell_length_b 4.220
_cell_length_c 4.225
_cell_angle_alpha 90.00
_cell_angle_beta 90.00
_cell_angle_gamma 90.00
_space_group_name_H-M_alt 'P 4/m m m'
_space_group_IT_number 123
_space_group_name_Hall '-P 4 2'
loop_
_atom_site_label
_atom_site_type_symbol
_atom_site_fract_x
_atom_site_fract_y
_atom_site_fract_z
La1 La 0.000 0.000 0.000
Ag1 Ag 0.500 0.500 0.500
O1 O 0.000 0.500 0.500
F1 F 0.500 0.500 0.000
# - Uncorrected formation energy: -1639 meV/atom
# - Spin magnetization: 0.3 μB per formula unit

Entry 9:
# PBE CuHg2W, relaxed
data_CuHg2W
_chemical_formula_sum 'Cu2 Hg4 W2'
_cell_length_a 4.023
_cell_length_b 4.067
_cell_length_c 8.542
_cell_angle_alpha 90.00
_cell_angle_beta 90.00
_cell_angle_gamma 90.00
_space_group_name_H-M_alt 'C m m m'
_space_group_IT_number 65
_space_group_name_Hall '-C 2 2'
loop_
_atom_site_label
_atom_site_type_symbol
_atom_site_fract_x
_atom_site_fract_y
_atom_site_fract_z
Cu1 Cu 0.000 0.000 0.000
Hg1 Hg 0.000 0.500 0.235
W1 W 0.000 0.000 0.500
# - Formation energy: 597 meV per atom
# - Energy above the lowest structure with this stoichiometry: 87.0 meV per atom
# - Spin magnetization: 0.0 μB per formula unit

Entry 10:
# PBE AlS2N2, relaxed
data_AlS2N2
_chemical_formula_sum 'Al1 S2 N2'
_cell_length_a 3.403
_cell_length_b 3.403
_cell_length_c 6.558
_cell_angle_alpha 90.00
_cell_angle_beta 90.00
_cell_angle_gamma 90.00
_space_group_name_H-M_alt 'P 4/m m m'
_space_group_IT_number 123
_space_group_name_Hall '-P 4 2'
loop_
_atom_site_label
_atom_site_type_symbol
_atom_site_fract_x
_atom_site_fract_y
_atom_site_fract_z
Al1 Al 0.000 0.000 0.000
S1 S 0.500 0.500 0.000
S2 S 0.500 0.500 0.500
N1 N 0.000 0.500 0.500
# - Uncorrected formation energy: 1095 meV/atom
# - Energy above the lowest structure with this stoichiometry: 136.0 meV per atom
# - Spin magnetization: 0.0 μB per formula unit

Entry 11:
# PBE TmSnTeO6, relaxed
data_TmSnTeO6
_chemical_formula_sum 'Tm2 Sn2 Te2 O12'
_cell_length_a 5.4898
_cell_length_b 5.4898
_cell_length_c 9.0847
_cell_angle_alpha 90.00
_cell_angle_beta 90.00
_cell_angle_gamma 120.00
_space_group_name_H-M_alt 'P -3 1 c'
_space_group_IT_number 163
_space_group_name_Hall '-P 3 2c'
loop_
_atom_site_label
_atom_site_type_symbol
_atom_site_fract_x
_atom_site_fract_y
_atom_site_fract_z
Tm1 Tm 0.3333 0.6667 0.2500
Sn1 Sn 0.0000 0.0000 0.0000
Te1 Te 0.3333 0.6667 0.7500
O1 O 0.0249 0.3441 0.6269
# - Uncorrected formation energy: -1769 meV/atom
# - Spin magnetization: 0.0 μB per formula unit

Entry 12:
# PBE Rb3UAg2S6, relaxed
data_Rb3UAg2S6
_chemical_formula_sum 'Rb6 U2 Ag4 S12'
_cell_length_a 6.580
_cell_length_b 13.966
_cell_length_c 7.762
_cell_angle_alpha 90.00
_cell_angle_beta 106.54
_cell_angle_gamma 90.00
_space_group_name_H-M_alt 'C 1 2/m 1'
_space_group_IT_number 12
loop_
_space_group_symop_operation_xyz
'x,y,z'
'-x,-y,-z'
'-x,y,-z'
'x,-y,z'
'x+1/2,y+1/2,z'
'-x+1/2,-y+1/2,-z'
'-x+1/2,y+1/2,-z'
'x+1/2,-y+1/2,z'
loop_
_atom_site_label
_atom_site_type_symbol
_atom_site_fract_x
_atom_site_fract_y
_atom_site_fract_z
Rb1 Rb 0.000 0.000 0.000
Rb2 Rb 0.000 0.317 0.000
U1 U 0.000 0.500 0.500
Ag1 Ag 0.000 0.109 0.500
S1 S 0.202 0.500 0.262
S2 S 0.244 0.365 0.678
# - Uncorrected formation energy: -849 meV/atom
# - Spin magnetization: 0.0 μB per formula unit